Record 1
The following is a DFT calculation (PBE-GGA) of a geometry-optimized NaZrNO structure.

Calculated values
As for the density: 3.69 g cm⁻³. The electronic total energy is -7.5162 eV/atom. For the relative energy among the computed polymorphs, the calculation gives 0.268 eV per formula unit. The calculation puts the spin magnetization at 0.000 μB/cell. The crystal system is orthorhombic. The symmetry is Pmc2_1.

a = 3.4473 Å, b = 5.7512 Å, c = 6.5406 Å
α = 90.00°, β = 90.00°, γ = 90.00°
Sites, in units of the cell vectors:
N 0.0000 0.9068 0.3030
N 0.0000 0.4068 0.6970
Na 0.0000 0.4913 0.3440
Na 0.0000 0.9913 0.6560
O 0.5000 0.3555 0.1275
O 0.5000 0.8555 0.8725
Zr 0.5000 0.0004 0.1595
Zr 0.5000 0.5004 0.8405

Record 2
The following is a DFT calculation (PBE-GGA) of a geometry-optimized KLiUSe3 structure.

Calculated values
As for the density: 5.22 g cm⁻³. The electronic total energy is -5.3988 eV/atom. The calculation puts the spin magnetization at 4.008 μB/cell. The crystal system is orthorhombic. The symmetry is Cmcm.

a = 7.5070 Å, b = 7.5070 Å, c = 10.9210 Å
α = 90.00°, β = 90.00°, γ = 147.41°
Sites, in units of the cell vectors:
K 0.2394 0.7606 0.2500
K 0.7606 0.2394 0.7500
Li 0.9613 0.0387 0.2500
Li 0.0387 0.9613 0.7500
Se 0.8733 0.1267 0.0517
Se 0.5574 0.4426 0.2500
Se 0.8733 0.1267 0.4483
Se 0.1267 0.8733 0.5517
Se 0.4426 0.5574 0.7500
Se 0.1267 0.8733 0.9483
U 0.5000 0.5000 0.0000
U 0.5000 0.5000 0.5000

Record 3
The following is a DFT calculation (PBE-GGA) of a geometry-optimized PmSmAsO structure.

Calculated values
As for the density: 6.36 g cm⁻³. The electronic total energy is -6.6891 eV/atom. For the relative energy among the computed polymorphs, the calculation gives 0.030 eV per formula unit. The calculation puts the spin magnetization at 0.007 μB/cell. The crystal system is orthorhombic. The symmetry is Pmc2_1.

a = 4.2464 Å, b = 7.9274 Å, c = 5.9892 Å
α = 90.00°, β = 90.00°, γ = 90.00°
Sites, in units of the cell vectors:
As 0.0000 0.8420 0.4317
As 0.0000 0.1580 0.9317
O 0.5000 0.3257 0.3818
O 0.5000 0.6743 0.8818
Pm 0.5000 0.3864 0.0028
Pm 0.5000 0.6136 0.5028
Sm 0.0000 0.2041 0.4377
Sm 0.0000 0.7959 0.9377

Record 4
The following is a DFT calculation (PBE-GGA) of a geometry-optimized Dy2O structure.

Calculated values
As for the density: 4.26 g cm⁻³. The electronic total energy is -5.6579 eV/atom. For the relative energy among the computed polymorphs, the calculation gives 2.645 eV per formula unit. The calculation puts the spin magnetization at 3.842 μB/cell. The crystal system is cubic. The symmetry is Fd-3m.

a = 7.2160 Å, b = 7.2160 Å, c = 7.2160 Å
α = 60.00°, β = 60.00°, γ = 60.00°
Sites, in units of the cell vectors:
Dy 0.3750 0.3750 0.3750
Dy 0.8750 0.3750 0.3750
Dy 0.3750 0.8750 0.3750
Dy 0.3750 0.3750 0.8750
O 0.2500 0.2500 0.2500
O 0.5000 0.5000 0.5000

Record 5
The following is a DFT calculation (PBE-GGA) of a geometry-optimized SrLiGd structure.

Calculated values
As for the density: 3.72 g cm⁻³. The electronic total energy is -2.2511 eV/atom. The calculation puts the spin magnetization at 0.491 μB/cell. The crystal system is cubic. The symmetry is F-43m.

a = 5.4163 Å, b = 5.4163 Å, c = 5.4163 Å
α = 60.00°, β = 60.00°, γ = 60.00°
Sites, in units of the cell vectors:
Gd 0.7500 0.7500 0.7500
Li 0.0000 0.0000 0.0000
Sr 0.2500 0.2500 0.2500

Record 6
The following is a DFT calculation (PBE-GGA) of a geometry-optimized KHoCoTe3 structure.

Calculated values
As for the density: 5.58 g cm⁻³. The electronic total energy is -4.5312 eV/atom. For the relative energy among the computed polymorphs, the calculation gives 0.102 eV per formula unit. The calculation puts the spin magnetization at 5.228 μB/cell. The crystal system is orthorhombic. The symmetry is Cmcm.

a = 8.2800 Å, b = 8.2800 Å, c = 11.3422 Å
α = 90.00°, β = 90.00°, γ = 29.63°
Sites, in units of the cell vectors:
Co 0.4700 0.4700 0.2500
Co 0.5300 0.5300 0.7500
Ho 0.0000 0.0000 0.0000
Ho 0.0000 0.0000 0.5000
K 0.7454 0.7454 0.2500
K 0.2546 0.2546 0.7500
Te 0.3717 0.3717 0.0689
Te 0.0676 0.0676 0.2500
Te 0.3717 0.3717 0.4311
Te 0.6283 0.6283 0.5689
Te 0.9324 0.9324 0.7500
Te 0.6283 0.6283 0.9311

Record 7
The following is a DFT calculation (PBE-GGA) of a geometry-optimized ZnAg2Cl4 structure.

Calculated values
As for the density: 3.70 g cm⁻³. The electronic total energy is -2.7964 eV/atom. The crystal system is tetragonal. The symmetry is I-4.

a = 7.0449 Å, b = 7.0449 Å, c = 7.0449 Å
α = 131.86°, β = 131.86°, γ = 70.45°
Sites, in units of the cell vectors:
Ag 0.5000 0.5000 0.0000
Ag 0.2500 0.7500 0.5000
Cl 0.3568 0.9044 0.0229
Cl 0.0956 0.1185 0.4524
Cl 0.6661 0.6432 0.5476
Cl 0.8815 0.3339 0.9771
Zn 0.0000 0.0000 0.0000

Record 8
The following is a DFT calculation (PBE-GGA) of a geometry-optimized LuAlAu structure.

Calculated values
As for the density: 8.98 g cm⁻³. The electronic total energy is -3.8815 eV/atom. The calculation puts the spin magnetization at 0.002 μB/cell. The crystal system is cubic. The symmetry is F-43m.

a = 4.7077 Å, b = 4.7077 Å, c = 4.7077 Å
α = 60.00°, β = 60.00°, γ = 60.00°
Sites, in units of the cell vectors:
Al 0.2500 0.2500 0.2500
Au 0.7500 0.7500 0.7500
Lu 0.0000 0.0000 0.0000

Record 9
The following is a DFT calculation (PBE-GGA) of a geometry-optimized ScZnPO structure.

Calculated values
As for the density: 4.11 g cm⁻³. The electronic total energy is -6.0233 eV/atom. The calculation puts the spin magnetization at 0.000 μB/cell. The crystal system is orthorhombic. The symmetry is Pmc2_1.

a = 3.5966 Å, b = 5.8035 Å, c = 6.0928 Å
α = 90.00°, β = 90.00°, γ = 90.00°
Sites, in units of the cell vectors:
O 0.0000 0.2592 0.3626
O 0.0000 0.7408 0.8626
P 0.5000 0.7266 0.3336
P 0.5000 0.2734 0.8336
Sc 0.0000 0.4741 0.0977
Sc 0.0000 0.5259 0.5977
Zn 0.5000 0.1049 0.4601
Zn 0.5000 0.8951 0.9601

Record 10
The following is a DFT calculation (PBE-GGA) of a geometry-optimized K4OsSe4 structure.

Calculated values
As for the density: 3.69 g cm⁻³. The electronic total energy is -3.9044 eV/atom. The calculation puts the spin magnetization at 2.751 μB/cell. The crystal system is monoclinic. The symmetry is C2/m.

a = 6.6299 Å, b = 6.6299 Å, c = 7.1764 Å
α = 97.42°, β = 97.42°, γ = 73.41°
Sites, in units of the cell vectors:
K 0.3631 0.3631 0.1437
K 0.8271 0.8271 0.3751
K 0.1729 0.1729 0.6249
K 0.6369 0.6369 0.8563
Os 0.0000 0.0000 0.0000
Se 0.8810 0.3171 0.2172
Se 0.3171 0.8810 0.2172
Se 0.6829 0.1190 0.7828
Se 0.1190 0.6829 0.7828

Record 11
The following is a DFT calculation (PBE-GGA) of a geometry-optimized NdGdAu2 structure.

Calculated values
As for the density: 11.40 g cm⁻³. The electronic total energy is -4.8217 eV/atom. The calculation puts the formation energy at -0.8341 eV/atom. For the relative energy among the computed polymorphs, the calculation gives 0.020 eV per formula unit. The calculation puts the spin magnetization at 0.014 μB/cell. The crystal system is orthorhombic. The symmetry is Pmc2_1.

a = 4.7791 Å, b = 5.7740 Å, c = 7.3386 Å
α = 90.00°, β = 90.00°, γ = 90.00°
Sites, in units of the cell vectors:
Au 0.0000 0.9039 0.0418
Au 0.5000 0.3980 0.4595
Au 0.0000 0.0961 0.5418
Au 0.5000 0.6020 0.9595
Gd 0.5000 0.8941 0.3145
Gd 0.5000 0.1059 0.8145
Nd 0.0000 0.3939 0.1842
Nd 0.0000 0.6061 0.6842

Record 12
The following is a DFT calculation (PBE-GGA) of a geometry-optimized ZnFeCoSb structure.

Calculated values
As for the density: 9.39 g cm⁻³. The electronic total energy is -5.0976 eV/atom. For the relative energy among the computed polymorphs, the calculation gives 0.000 eV per formula unit. The calculation puts the spin magnetization at 0.397 μB/cell. The crystal system is cubic. The symmetry is F-43m.

a = 4.2265 Å, b = 4.2265 Å, c = 4.2265 Å
α = 60.00°, β = 60.00°, γ = 60.00°
Sites, in units of the cell vectors:
Co 0.5000 0.5000 0.5000
Fe 0.0000 0.0000 0.0000
Sb 0.2500 0.2500 0.2500
Zn 0.7500 0.7500 0.7500